one) Here is a geometry-optimized RbRe2Rh structure from the Alexandria database. Energies are from GGA-PBE.

Results
Magnetic moment: 0.000 μB/f.u.

Structure (CIF):
```
data_RbRe2Rh
_cell_length_a 4.587
_cell_length_b 4.587
_cell_length_c 4.587
_cell_angle_alpha 60.00
_cell_angle_beta 60.00
_cell_angle_gamma 60.00
_symmetry_space_group_name_H-M 'P 1'
_symmetry_Int_Tables_number 1
_symmetry_space_group_name_Hall 'P 1'
loop_
_atom_site_label
_atom_site_fract_x
_atom_site_fract_y
_atom_site_fract_z
_atom_site_occupancy
Rb1 0.000 0.000 0.000 1
Re1 0.750 0.750 0.750 1
Re2 0.250 0.250 0.250 1
Rh1 0.500 0.500 0.500 1
```

***

two) Here is a geometry-optimized RbRe2Rh structure from the Alexandria database. Energies are from GGA-PBE.

Results
Magnetic moment: 0.000 μB/f.u.

Structure (CIF):
```
data_RbRe2Rh
_cell_length_a 7.847
_cell_length_b 7.847
_cell_length_c 6.176
_cell_angle_alpha 50.56
_cell_angle_beta 50.56
_cell_angle_gamma 90.00
_symmetry_space_group_name_H-M 'P 1'
_symmetry_Int_Tables_number 1
_symmetry_space_group_name_Hall 'P 1'
loop_
_atom_site_label
_atom_site_fract_x
_atom_site_fract_y
_atom_site_fract_z
_atom_site_occupancy
Rb1 0.250 0.750 0.500 1
Rb2 0.500 0.500 0.000 1
Re1 0.060 0.625 0.250 1
Re2 0.690 0.125 0.250 1
Re3 0.375 0.310 0.750 1
Re4 0.875 0.940 0.750 1
Rh1 0.000 0.000 0.000 1
Rh2 0.750 0.250 0.500 1
```

***

Verdict on stability: one) comes out at the bottom.

***

one) Here is a geometry-optimized RbRe3Rh structure from the Alexandria database. Energies are from GGA-PBE.

Results
Magnetic moment: 0.000 μB/f.u.

Structure (CIF):
```
data_RbRe3Rh
_cell_length_a 4.594
_cell_length_b 4.594
_cell_length_c 4.594
_cell_angle_alpha 90.00
_cell_angle_beta 90.00
_cell_angle_gamma 90.00
_symmetry_space_group_name_H-M 'P 1'
_symmetry_Int_Tables_number 1
_symmetry_space_group_name_Hall 'P 1'
loop_
_atom_site_label
_atom_site_fract_x
_atom_site_fract_y
_atom_site_fract_z
_atom_site_occupancy
Re1 0.500 0.000 0.000 1
Re2 0.000 0.500 0.000 1
Re3 0.000 0.000 0.500 1
Rh1 0.500 0.500 0.500 1
Rb1 0.000 0.000 0.000 1
```

***

two) Here is a geometry-optimized RbRe3Rh structure from the Alexandria database. Energies are from GGA-PBE.

Results
Magnetic moment: 3.148 μB/f.u.

Structure (CIF):
```
data_RbRe3Rh
_cell_length_a 4.857
_cell_length_b 4.857
_cell_length_c 4.857
_cell_angle_alpha 90.00
_cell_angle_beta 90.00
_cell_angle_gamma 90.00
_symmetry_space_group_name_H-M 'P 1'
_symmetry_Int_Tables_number 1
_symmetry_space_group_name_Hall 'P 1'
loop_
_atom_site_label
_atom_site_fract_x
_atom_site_fract_y
_atom_site_fract_z
_atom_site_occupancy
Rb1 0.500 0.500 0.500 1
Re1 0.000 0.500 0.000 1
Re2 0.000 0.000 0.500 1
Re3 0.500 0.000 0.000 1
Rh1 0.000 0.000 0.000 1
```

***

Verdict on stability: one) comes out at the bottom.

***

one) Here is a geometry-optimized RbRe2Ru structure from the Alexandria database. Energies are from GGA-PBE.

Results
Magnetic moment: 0.000 μB/f.u.

Structure (CIF):
```
data_RbRe2Ru
_cell_length_a 7.675
_cell_length_b 7.675
_cell_length_c 6.136
_cell_angle_alpha 51.29
_cell_angle_beta 51.29
_cell_angle_gamma 90.00
_symmetry_space_group_name_H-M 'P 1'
_symmetry_Int_Tables_number 1
_symmetry_space_group_name_Hall 'P 1'
loop_
_atom_site_label
_atom_site_fract_x
_atom_site_fract_y
_atom_site_fract_z
_atom_site_occupancy
Re1 0.695 0.125 0.250 1
Re2 0.375 0.305 0.750 1
Re3 0.055 0.625 0.250 1
Re4 0.875 0.945 0.750 1
Ru1 0.000 0.000 0.000 1
Ru2 0.750 0.250 0.500 1
Rb1 0.250 0.750 0.500 1
Rb2 0.500 0.500 0.000 1
```

***

two) Here is a geometry-optimized RbRe2Ru structure from the Alexandria database. Energies are from GGA-PBE.

Results
Magnetic moment: 0.000 μB/f.u.

Structure (CIF):
```
data_RbRe2Ru
_cell_length_a 4.572
_cell_length_b 4.572
_cell_length_c 4.572
_cell_angle_alpha 60.00
_cell_angle_beta 60.00
_cell_angle_gamma 60.00
_symmetry_space_group_name_H-M 'P 1'
_symmetry_Int_Tables_number 1
_symmetry_space_group_name_Hall 'P 1'
loop_
_atom_site_label
_atom_site_fract_x
_atom_site_fract_y
_atom_site_fract_z
_atom_site_occupancy
Ru1 0.500 0.500 0.500 1
Re1 0.750 0.750 0.750 1
Re2 0.250 0.250 0.250 1
Rb1 0.000 0.000 0.000 1
```

***

Verdict on stability: two) comes out at the bottom.

***

one) Here is a geometry-optimized RbReS2 structure from the Alexandria database. Energies are from GGA-PBE.

Results
Magnetic moment: 0.000 μB/f.u.

Structure (CIF):
```
data_RbReS2
_cell_length_a 6.040
_cell_length_b 3.864
_cell_length_c 9.445
_cell_angle_alpha 89.95
_cell_angle_beta 79.84
_cell_angle_gamma 90.00
_symmetry_space_group_name_H-M 'P 1'
_symmetry_Int_Tables_number 1
_symmetry_space_group_name_Hall 'P 1'
loop_
_atom_site_label
_atom_site_fract_x
_atom_site_fract_y
_atom_site_fract_z
_atom_site_occupancy
S1 0.967 0.651 0.156 1
S2 0.501 0.651 0.493 1
S3 0.036 0.151 0.480 1
S4 0.570 0.150 0.817 1
Re1 0.670 0.150 0.577 1
Re2 0.866 0.651 0.395 1
Rb1 0.460 0.151 0.173 1
Rb2 0.076 0.650 0.799 1
```

***

two) Here is a geometry-optimized RbReS2 structure from the Alexandria database. Energies are from GGA-PBE.

Results
Magnetic moment: 0.000 μB/f.u.

Structure (CIF):
```
data_RbReS2
_cell_length_a 7.201
_cell_length_b 7.201
_cell_length_c 6.595
_cell_angle_alpha 56.91
_cell_angle_beta 56.91
_cell_angle_gamma 90.00
_symmetry_space_group_name_H-M 'P 1'
_symmetry_Int_Tables_number 1
_symmetry_space_group_name_Hall 'P 1'
loop_
_atom_site_label
_atom_site_fract_x
_atom_site_fract_y
_atom_site_fract_z
_atom_site_occupancy
S1 0.375 0.247 0.750 1
S2 0.875 0.003 0.750 1
S3 0.997 0.625 0.250 1
S4 0.753 0.125 0.250 1
Rb1 0.500 0.500 0.000 1
Rb2 0.250 0.750 0.500 1
Re1 0.750 0.250 0.500 1
Re2 0.000 0.000 0.000 1
```

***

three) Here is a geometry-optimized RbReS2 structure from the Alexandria database. Energies are from GGA-PBE.

Results
Magnetic moment: 1.634 μB/f.u.

Structure (CIF):
```
data_RbReS2
_cell_length_a 9.016
_cell_length_b 9.016
_cell_length_c 9.016
_cell_angle_alpha 23.45
_cell_angle_beta 23.45
_cell_angle_gamma 23.45
_symmetry_space_group_name_H-M 'P 1'
_symmetry_Int_Tables_number 1
_symmetry_space_group_name_Hall 'P 1'
loop_
_atom_site_label
_atom_site_fract_x
_atom_site_fract_y
_atom_site_fract_z
_atom_site_occupancy
S1 0.119 0.119 0.119 1
S2 0.881 0.881 0.881 1
Rb1 0.000 0.000 0.000 1
Re1 0.500 0.500 0.500 1
```

***

Verdict on stability: three) comes out at the bottom.

***

one) Here is a geometry-optimized RbRe2S4 structure from the Alexandria database. Energies are from GGA-PBE.

Results
Magnetic moment: 0.000 μB/f.u.

Structure (CIF):
```
data_RbRe2S4
_cell_length_a 6.413
_cell_length_b 6.413
_cell_length_c 8.010
_cell_angle_alpha 113.18
_cell_angle_beta 113.18
_cell_angle_gamma 90.96
_symmetry_space_group_name_H-M 'P 1'
_symmetry_Int_Tables_number 1
_symmetry_space_group_name_Hall 'P 1'
loop_
_atom_site_label
_atom_site_fract_x
_atom_site_fract_y
_atom_site_fract_z
_atom_site_occupancy
S1 0.287 0.552 0.111 1
S2 0.930 0.186 0.366 1
S3 0.824 0.559 0.111 1
S4 0.448 0.713 0.889 1
S5 0.441 0.177 0.889 1
S6 0.814 0.070 0.634 1
S7 0.820 0.564 0.634 1
S8 0.436 0.180 0.366 1
Re1 0.581 0.369 0.737 1
Re2 0.631 0.419 0.263 1
Re3 0.633 0.844 0.263 1
Re4 0.156 0.367 0.737 1
Rb1 0.250 0.750 0.500 1
Rb2 0.000 0.000 0.000 1
```

***

two) Here is a geometry-optimized RbRe2S4 structure from the Alexandria database. Energies are from GGA-PBE.

Results
Magnetic moment: 0.013 μB/f.u.

Structure (CIF):
```
data_RbRe2S4
_cell_length_a 3.601
_cell_length_b 5.577
_cell_length_c 8.134
_cell_angle_alpha 99.51
_cell_angle_beta 102.79
_cell_angle_gamma 90.00
_symmetry_space_group_name_H-M 'P 1'
_symmetry_Int_Tables_number 1
_symmetry_space_group_name_Hall 'P 1'
loop_
_atom_site_label
_atom_site_fract_x
_atom_site_fract_y
_atom_site_fract_z
_atom_site_occupancy
S1 0.352 0.956 0.704 1
S2 0.824 0.441 0.648 1
S3 0.648 0.044 0.296 1
S4 0.176 0.559 0.352 1
Re1 0.755 0.808 0.509 1
Re2 0.245 0.192 0.491 1
Rb1 0.500 0.500 0.000 1
```

***

Verdict on stability: one) comes out at the bottom.

***

one) Here is a geometry-optimized RbRe3S structure from the Alexandria database. Energies are from GGA-PBE.

Results
Magnetic moment: 2.033 μB/f.u.

Structure (CIF):
```
data_RbRe3S
_cell_length_a 4.747
_cell_length_b 4.747
_cell_length_c 4.747
_cell_angle_alpha 90.00
_cell_angle_beta 90.00
_cell_angle_gamma 90.00
_symmetry_space_group_name_H-M 'P 1'
_symmetry_Int_Tables_number 1
_symmetry_space_group_name_Hall 'P 1'
loop_
_atom_site_label
_atom_site_fract_x
_atom_site_fract_y
_atom_site_fract_z
_atom_site_occupancy
Re1 0.500 0.000 0.000 1
Re2 0.000 0.000 0.500 1
Re3 0.000 0.500 0.000 1
Rb1 0.000 0.000 0.000 1
S1 0.500 0.500 0.500 1
```

***

two) Here is a geometry-optimized RbRe3S structure from the Alexandria database. Energies are from GGA-PBE.

Results
Magnetic moment: 2.228 μB/f.u.

Structure (CIF):
```
data_RbRe3S
_cell_length_a 4.568
_cell_length_b 4.568
_cell_length_c 4.568
_cell_angle_alpha 90.00
_cell_angle_beta 90.00
_cell_angle_gamma 90.00
_symmetry_space_group_name_H-M 'P 1'
_symmetry_Int_Tables_number 1
_symmetry_space_group_name_Hall 'P 1'
loop_
_atom_site_label
_atom_site_fract_x
_atom_site_fract_y
_atom_site_fract_z
_atom_site_occupancy
S1 0.000 0.000 0.000 1
Re1 0.500 0.000 0.000 1
Re2 0.000 0.500 0.000 1
Re3 0.000 0.000 0.500 1
Rb1 0.500 0.500 0.500 1
```

***

Verdict on stability: one) comes out at the bottom.